[1]
Entry from Alexandria via LeMat-Bulk: an optimized crystal structure of Pa3Tc2Ge3Ir (GGA-PBE).

- final energy (eV per cell) = -77.38
- spin magnetization (μB per atom) = 0.000
- space group = P-62m
- ΔH_f (0 K) (eV per atom) = -0.61
- theoretical density (Mg/m³) = 12.5

a b c (Å): 3.9103 7.1486 7.1486
angles (deg): 120.00 90.00 90.00
Fractional positions:
Ge  0.5000  0.2524  0.2524
Tc  0.5000  0.6667  0.3333
Pa  0.0000  0.0000  0.4137
Tc  0.5000  0.3333  0.6667
Ir  0.0000  0.0000  0.0000
Ge  0.5000  0.0000  0.7476
Ge  0.5000  0.7476  0.0000
Pa  0.0000  0.5863  0.5863
Pa  0.0000  0.4137  0.0000

=====

[2]
Entry from Alexandria via LeMat-Bulk: an optimized crystal structure of PaTcGeIr (GGA-PBE).

- final energy (eV per cell) = -34.40
- spin magnetization (μB per atom) = 0.001
- space group = F-43m
- ΔH_f (0 K) (eV per atom) = -0.27
- theoretical density (Mg/m³) = 13.7

a b c (Å): 4.6720 4.6720 4.6720
angles (deg): 60.00 60.00 60.00
Fractional positions:
Pa  0.0000  0.0000  0.0000
Tc  0.7500  0.7500  0.7500
Ir  0.2500  0.2500  0.2500
Ge  0.5000  0.5000  0.5000

=====

[3]
Entry from Alexandria via LeMat-Bulk: an optimized crystal structure of ThPaGe2Ir5 (GGA-PBE).

- final energy (eV per cell) = -75.12
- spin magnetization (μB per atom) = 0.000
- space group = P4/mmm
- ΔH_f (0 K) (eV per atom) = -0.52
- theoretical density (Mg/m³) = 13.7

a b c (Å): 4.0412 4.0412 11.6083
angles (deg): 90.00 90.00 90.00
Fractional positions:
Ir  0.0000  0.5000  0.1702
Ir  0.5000  0.5000  0.5000
Th  0.0000  0.0000  0.5000
Ge  0.5000  0.5000  0.2899
Ir  0.0000  0.5000  0.8298
Ge  0.5000  0.5000  0.7101
Ir  0.5000  0.0000  0.8298
Ir  0.5000  0.0000  0.1702
Pa  0.0000  0.0000  0.0000

=====

[4]
Entry from Alexandria via LeMat-Bulk: an optimized crystal structure of Th2PaGe3Ir4 (GGA-PBE).

- final energy (eV per cell) = -81.61
- spin magnetization (μB per atom) = 0.000
- space group = P-4m2
- ΔH_f (0 K) (eV per atom) = -0.80
- theoretical density (Mg/m³) = 13.9

a b c (Å): 4.2467 4.2467 11.1711
angles (deg): 90.00 90.00 90.00
Fractional positions:
Ir  0.5000  0.5000  0.0000
Ir  0.5000  0.0000  0.6521
Th  0.0000  0.5000  0.7779
Ge  0.5000  0.0000  0.8746
Ir  0.0000  0.5000  0.3479
Pa  0.5000  0.5000  0.5000
Ir  0.0000  0.0000  0.0000
Th  0.5000  0.0000  0.2221
Ge  0.0000  0.5000  0.1254
Ge  0.0000  0.0000  0.5000

=====

[5]
Entry from Alexandria via LeMat-Bulk: an optimized crystal structure of Pa2TiGe3Ir4 (GGA-PBE).

- final energy (eV per cell) = -83.51
- spin magnetization (μB per atom) = 0.000
- space group = P-4m2
- ΔH_f (0 K) (eV per atom) = -0.73
- theoretical density (Mg/m³) = 13.7

a b c (Å): 4.0792 4.0792 10.8746
angles (deg): 90.00 90.00 90.00
Fractional positions:
Pa  0.0000  0.5000  0.7626
Ir  0.5000  0.0000  0.6439
Ge  0.0000  0.5000  0.1316
Pa  0.5000  0.0000  0.2374
Ge  0.0000  0.0000  0.5000
Ti  0.5000  0.5000  0.5000
Ir  0.0000  0.0000  0.0000
Ir  0.5000  0.5000  0.0000
Ir  0.0000  0.5000  0.3561
Ge  0.5000  0.0000  0.8684

=====

[6]
Entry from Alexandria via LeMat-Bulk: an optimized crystal structure of TmPa2Ge3Ir4 (GGA-PBE).

- final energy (eV per cell) = -79.87
- spin magnetization (μB per atom) = 0.000
- space group = P-4m2
- ΔH_f (0 K) (eV per atom) = -0.71
- theoretical density (Mg/m³) = 14.1

a b c (Å): 4.0688 4.0688 11.5153
angles (deg): 90.00 90.00 90.00
Fractional positions:
Pa  0.5000  0.0000  0.2260
Ir  0.0000  0.5000  0.3349
Ge  0.0000  0.0000  0.5000
Ge  0.5000  0.0000  0.8763
Ir  0.5000  0.5000  0.0000
Ge  0.0000  0.5000  0.1237
Ir  0.5000  0.0000  0.6651
Pa  0.0000  0.5000  0.7740
Ir  0.0000  0.0000  0.0000
Tm  0.5000  0.5000  0.5000